## i
DFT (PBE) results for an optimized crystal structure of CsRe3H.

```
5
Lattice="4.208 0.000 0.000 0.000 4.208 0.000 0.000 0.000 4.208" Properties=species:S:1:pos:R:3 pbc="T T T"
Cs 0.000 0.000 0.000
Re 0.000 2.104 2.104
Re 2.104 0.000 2.104
Re 2.104 2.104 0.000
H 2.104 2.104 2.104
```

Calculated values
Magnetization = 0.000 μB/atom
Symmetry = Pm-3m, No. 221

***

## ii
DFT (PBE) results for an optimized crystal structure of CsRe3H.

```
5
Lattice="4.980 0.000 0.000 0.000 4.980 0.000 0.000 0.000 4.980" Properties=species:S:1:pos:R:3 pbc="T T T"
Cs 0.000 0.000 0.000
Re 0.000 0.000 2.490
Re 0.000 2.490 0.000
Re 2.490 0.000 0.000
H 2.490 2.490 2.490
```

Calculated values
Magnetization = 0.956 μB/atom
Symmetry = Pm-3m, No. 221

***

Preferred: i; penalty for the next structure: 2577 meV/atom.